Density functional theory data (SCAN) for a PBEsol-optimized structure of CsSb2TeRh.

Structure (POSCAR):
```
CsSb2TeRh
1.0
5.947 0.000 0.000
0.000 5.947 0.000
0.000 0.000 5.915
Sb Rh Te Cs
2 1 1 1
direct
0.500 0.000 0.000
0.000 0.500 0.000
0.500 0.500 0.500
0.000 0.000 0.500
0.000 0.000 0.000
```

For the energy, the calculation gives -172.57 eV per cell. The space group is P4/mmm.